# FeCo4Ni12, optimized geometry, DFT GGA-PBE
# - ΔE_f (eV/atom) = 0.245
# - DOS(E_F) (states/eV/cell) = 53.993
# - mass density (g/cm3) = 8.40
# - total magnetization (μB per formula unit) = 18.04
data_FeCo4Ni12
_chemical_formula_sum 'Fe2 Co8 Ni24'
_space_group_name_H-M_alt 'I m -3 m'
_space_group_IT_number 229
_space_group_name_Hall '-I 4 2 3'
_cell_length_a 7.329
_cell_length_b 7.329
_cell_length_c 7.329
_cell_angle_alpha 90.00
_cell_angle_beta 90.00
_cell_angle_gamma 90.00
loop_
_atom_site_label
_atom_site_type_symbol
_atom_site_fract_x
_atom_site_fract_y
_atom_site_fract_z
Fe1 Fe 0.000 0.000 0.000
Co1 Co 0.250 0.250 0.250
Ni1 Ni 0.000 0.000 0.299
Ni2 Ni 0.000 0.250 0.500